# 1
The following is a PBE calculation of a relaxed structure of Pr3DyTe6, from Alexandria.

uncorrected formation energy: -1.397 eV per atom

Cell lengths 7.489, 8.358, 13.470 Å; angles 90.00, 122.47, 90.00 degrees
Space group P2_1/c (No. 14)
Unique sites:
Pr: 0.000 0.000 0.000 [2 per cell]
Pr: 0.306 0.119 0.755 [4 per cell]
Dy: 0.500 0.000 0.500 [2 per cell]
Te: 0.093 0.052 0.257 [4 per cell]
Te: 0.246 0.673 0.080 [4 per cell]
Te: 0.421 0.180 0.077 [4 per cell]

# 2
The following is a PBE calculation of a relaxed structure of Pr2DyTe, from Alexandria.

uncorrected formation energy: -0.541 eV per atom
polymorph energy (0 for the lowest one): 13 kJ/mol of formula units

Cell lengths 4.0293, 4.0293, 29.8365 Å; angles 90.00, 90.00, 120.00 degrees
Space group R3m (No. 160, hexagonal axes)
Unique sites:
Pr: 0.0000 0.0000 0.0000 [3 per cell]
Pr: 0.0000 0.0000 0.1876 [3 per cell]
Dy: 0.0000 0.0000 0.4267 [3 per cell]
Te: 0.0000 0.0000 0.5939 [3 per cell]

# 3
The following is a PBE calculation of a relaxed structure of PrDyTe2, from Alexandria.

uncorrected formation energy: -1.239 eV per atom
polymorph energy (0 for the lowest one): 58 kJ/mol of formula units

Cell lengths 7.686, 7.686, 7.686 Å; angles 90.00, 90.00, 90.00 degrees
Space group Fm-3m (No. 225)
Unique sites:
Pr: 0.000 0.000 0.000 [4 per cell]
Dy: 0.000 0.000 0.500 [4 per cell]
Te: 0.250 0.250 0.250 [8 per cell]

# 4
The following is a PBE calculation of a relaxed structure of PrDyTe6, from Alexandria.

uncorrected formation energy: -0.953 eV per atom

Cell lengths 4.374, 4.372, 27.141 Å; angles 90.00, 90.00, 90.00 degrees
Space group Amm2 (No. 38)
Unique sites:
Pr: 0.000 0.000 0.000 [2 per cell]
Dy: 0.500 0.000 0.656 [2 per cell]
Te: 0.000 0.000 0.122 [2 per cell]
Te: 0.000 0.000 0.404 [2 per cell]
Te: 0.000 0.000 0.748 [2 per cell]
Te: 0.500 0.000 0.248 [2 per cell]
Te: 0.500 0.000 0.537 [2 per cell]
Te: 0.500 0.000 0.904 [2 per cell]

Number 1 is which compound?
Pr3DyTe6